Material: Pm4Ho9Tl11
Method: DFT, PBE
State: optimized geometry

energy relative to the elements = -6.4 eV per formula unit
symmetry = Cmmm, No. 65
M_tot = 0.009 μB/f.u.
N(E_F) = 23.83 states/eV/f.u.

Unit cell a=3.572 b=14.143 c=14.143 alpha=109.89 beta=90.00 gamma=90.00
Sites, in units of the cell vectors:
Pm1 0.500 0.588 0.750
Pm2 0.500 0.412 0.250
Pm3 0.500 0.750 0.588
Pm4 0.500 0.250 0.412
Ho1 0.500 0.613 0.161
Ho2 0.500 0.387 0.839
Ho3 0.500 0.161 0.613
Ho4 0.500 0.839 0.387
Ho5 0.500 0.797 0.987
Ho6 0.500 0.203 0.013
Ho7 0.500 0.987 0.797
Ho8 0.500 0.013 0.203
Ho9 0.500 0.500 0.500
Tl1 0.000 0.591 0.954
Tl2 0.000 0.409 0.046
Tl3 0.000 0.954 0.591
Tl4 0.000 0.046 0.409
Tl5 0.000 0.624 0.376
Tl6 0.000 0.376 0.624
Tl7 0.000 0.812 0.188
Tl8 0.000 0.188 0.812
Tl9 0.000 0.000 0.000
Tl10 0.000 0.795 0.795
Tl11 0.000 0.205 0.205

Material: Sm2USi3Rh12
Method: DFT, PBE
State: optimized geometry

E_tot = -7.23 eV per atom
symmetry = R-3m, No. 166
M_tot = 0.000 μB/f.u.
N(E_F) = 11.07 states/eV/f.u.

Unit cell a=7.452 b=7.452 c=7.452 alpha=66.32 beta=66.32 gamma=66.32
Sites, in units of the cell vectors:
Sm1 0.598 0.598 0.598
Sm2 0.402 0.402 0.402
U1 0.000 0.000 0.000
Si1 0.500 0.000 0.000
Si2 0.000 0.500 0.000
Si3 0.000 0.000 0.500
Rh1 0.353 0.353 0.902
Rh2 0.856 0.856 0.383
Rh3 0.383 0.856 0.856
Rh4 0.902 0.353 0.353
Rh5 0.856 0.383 0.856
Rh6 0.353 0.902 0.353
Rh7 0.647 0.647 0.098
Rh8 0.144 0.144 0.617
Rh9 0.617 0.144 0.144
Rh10 0.098 0.647 0.647
Rh11 0.144 0.617 0.144
Rh12 0.647 0.098 0.647

Material: Tm2VTe
Method: DFT, PBE
State: optimized geometry

E_tot = -4.98 eV per atom
symmetry = R-3m, No. 166
M_tot = 3.079 μB/f.u.
N(E_F) = 3.42 states/eV/f.u.

Unit cell a=3.665 b=3.665 c=10.110 alpha=79.56 beta=79.56 gamma=60.00
Sites, in units of the cell vectors:
Tm1 0.095 0.095 0.716
Tm2 0.905 0.905 0.284
Te1 0.500 0.500 0.500
V1 0.000 0.000 0.000

Material: MnCoTcRu
Method: DFT, PBE
State: optimized geometry

energy relative to the elements = 0.8 eV per formula unit
symmetry = F-43m, No. 216
M_tot = 6.356 μB/f.u.
N(E_F) = 3.28 states/eV/f.u.

Unit cell a=4.245 b=4.245 c=4.245 alpha=60.00 beta=60.00 gamma=60.00
Sites, in units of the cell vectors:
Ru1 0.500 0.500 0.500
Mn1 0.750 0.750 0.750
Co1 0.000 0.000 0.000
Tc1 0.250 0.250 0.250

Material: ScTaCoGe2
Method: DFT, PBE
State: optimized geometry

energy relative to the elements = 2.7 eV per formula unit
symmetry = P4/mmm, No. 123
M_tot = 0.250 μB/f.u.
N(E_F) = 4.91 states/eV/f.u.

Unit cell a=4.925 b=4.486 c=4.925 alpha=90.00 beta=90.00 gamma=90.00
Sites, in units of the cell vectors:
Sc1 0.500 0.500 0.500
Ge1 0.000 0.000 0.500
Ge2 0.500 0.000 0.000
Co1 0.000 0.500 0.000
Ta1 0.000 0.000 0.000

Material: TbTm2Co
Method: DFT, PBE
State: optimized geometry

energy relative to the elements = -0.4 eV per formula unit
symmetry = P4/mmm, No. 123
M_tot = 0.686 μB/f.u.
N(E_F) = 4.02 states/eV/f.u.

Unit cell a=3.349 b=3.349 c=8.764 alpha=90.00 beta=90.00 gamma=90.00
Sites, in units of the cell vectors:
Co1 0.500 0.500 0.000
Tm1 0.000 0.000 0.818
Tm2 0.000 0.000 0.182
Tb1 0.500 0.500 0.500

Material: Tl7In2Hg2
Method: DFT, PBE
State: optimized geometry

energy relative to the elements = 0.5 eV per formula unit
symmetry = Cmmm, No. 65
M_tot = 0.000 μB/f.u.
N(E_F) = 3.15 states/eV/f.u.

Unit cell a=6.793 b=8.692 c=6.793 alpha=90.01 beta=119.81 gamma=89.99
Sites, in units of the cell vectors:
Tl1 0.000 0.315 0.500
Tl2 0.500 0.685 0.000
Tl3 0.000 0.685 0.500
Tl4 0.500 0.315 0.000
Tl5 0.000 0.000 0.000
Tl6 0.500 0.801 0.500
Tl7 0.500 0.199 0.500
In1 0.735 0.000 0.265
In2 0.265 0.000 0.735
Hg1 0.780 0.500 0.780
Hg2 0.220 0.500 0.220

Material: Sm2Sc4Si3H2
Method: DFT, PBE
State: optimized geometry

E_tot = -5.88 eV per atom
symmetry = I4/mmm, No. 139
M_tot = 1.146 μB/f.u.
N(E_F) = 9.60 states/eV/f.u.

Unit cell a=4.310 b=4.310 c=11.649 alpha=100.66 beta=100.66 gamma=90.00
Sites, in units of the cell vectors:
Sm1 0.302 0.302 0.604
Sm2 0.698 0.698 0.396
Sc1 0.423 0.923 0.846
Sc2 0.923 0.423 0.846
Sc3 0.077 0.577 0.154
Sc4 0.577 0.077 0.154
Si1 0.000 0.000 0.000
Si2 0.164 0.164 0.328
Si3 0.836 0.836 0.672
H1 0.408 0.408 0.817
H2 0.592 0.592 0.183

Material: Ta4CoCu
Method: DFT, PBE
State: optimized geometry

energy relative to the elements = -0.6 eV per formula unit
symmetry = P4/mcc, No. 124
M_tot = 0.000 μB/f.u.
N(E_F) = 7.61 states/eV/f.u.

Unit cell a=4.924 b=6.237 c=6.237 alpha=90.00 beta=90.00 gamma=90.00
Sites, in units of the cell vectors:
Ta1 0.000 0.165 0.651
Ta2 0.000 0.835 0.349
Ta3 0.000 0.349 0.165
Ta4 0.000 0.651 0.835
Ta5 0.500 0.835 0.651
Ta6 0.500 0.165 0.349
Ta7 0.500 0.651 0.165
Ta8 0.500 0.349 0.835
Co1 0.250 0.500 0.500
Co2 0.750 0.500 0.500
Cu1 0.250 0.000 0.000
Cu2 0.750 0.000 0.000

Material: PaTiVOs
Method: DFT, PBE
State: optimized geometry

energy relative to the elements = -0.6 eV per formula unit
symmetry = F-43m, No. 216
M_tot = 0.001 μB/f.u.
N(E_F) = 5.34 states/eV/f.u.

Unit cell a=4.612 b=4.612 c=4.612 alpha=60.00 beta=60.00 gamma=60.00
Sites, in units of the cell vectors:
Ti1 0.500 0.500 0.500
Pa1 0.000 0.000 0.000
Os1 0.250 0.250 0.250
V1 0.750 0.750 0.750

Material: ErSc2Ni
Method: DFT, PBE
State: optimized geometry

energy relative to the elements = -1.1 eV per formula unit
symmetry = Pnma, No. 62
M_tot = 0.000 μB/f.u.
N(E_F) = 5.20 states/eV/f.u.

Unit cell a=5.973 b=6.483 c=9.138 alpha=90.00 beta=90.00 gamma=90.00
Sites, in units of the cell vectors:
Er1 0.628 0.523 0.250
Er2 0.872 0.023 0.250
Er3 0.372 0.477 0.750
Er4 0.128 0.977 0.750
Sc1 0.180 0.675 0.063
Sc2 0.320 0.175 0.437
Sc3 0.820 0.325 0.563
Sc4 0.680 0.825 0.937
Sc5 0.820 0.325 0.937
Sc6 0.680 0.825 0.563
Sc7 0.180 0.675 0.437
Sc8 0.320 0.175 0.063
Ni1 0.068 0.395 0.250
Ni2 0.432 0.895 0.250
Ni3 0.932 0.605 0.750
Ni4 0.568 0.105 0.750

Material: Pr3NdAu3
Method: DFT, PBE
State: optimized geometry

energy relative to the elements = -4.0 eV per formula unit
symmetry = C2/m, No. 12
M_tot = 0.000 μB/f.u.
N(E_F) = 6.40 states/eV/f.u.

Unit cell a=7.433 b=7.433 c=7.474 alpha=90.88 beta=90.88 gamma=96.97
Sites, in units of the cell vectors:
Pr1 0.646 0.646 0.367
Pr2 0.177 0.823 0.500
Pr3 0.823 0.177 0.500
Pr4 0.254 0.746 0.000
Pr5 0.746 0.254 0.000
Pr6 0.354 0.354 0.633
Nd1 0.743 0.743 0.868
Nd2 0.257 0.257 0.132
Au1 0.934 0.934 0.187
Au2 0.992 0.494 0.729
Au3 0.494 0.992 0.729
Au4 0.008 0.506 0.271
Au5 0.506 0.008 0.271
Au6 0.066 0.066 0.813

Material: YCo2Cu2
Method: DFT, PBE
State: optimized geometry

energy relative to the elements = 1.1 eV per formula unit
symmetry = P4/mbm, No. 127
M_tot = 1.837 μB/f.u.
N(E_F) = 6.72 states/eV/f.u.

Unit cell a=7.065 b=7.065 c=2.900 alpha=90.00 beta=90.00 gamma=90.00
Sites, in units of the cell vectors:
Y1 0.000 0.000 0.000
Y2 0.500 0.500 0.000
Co1 0.166 0.666 0.500
Co2 0.666 0.834 0.500
Co3 0.834 0.334 0.500
Co4 0.334 0.166 0.500
Cu1 0.375 0.875 0.000
Cu2 0.875 0.625 0.000
Cu3 0.625 0.125 0.000
Cu4 0.125 0.375 0.000

Material: SrIn2Au
Method: DFT, PBE
State: optimized geometry

energy relative to the elements = -1.5 eV per formula unit
symmetry = P4mm, No. 99
M_tot = 0.000 μB/f.u.
N(E_F) = 2.02 states/eV/f.u.

Unit cell a=3.794 b=3.795 c=7.505 alpha=90.00 beta=90.00 gamma=90.00
Sites, in units of the cell vectors:
Au1 0.500 0.500 0.781
In1 0.000 0.000 0.978
In2 0.500 0.500 0.216
Sr1 0.000 0.000 0.525

Material: AgP2W
Method: DFT, PBE
State: optimized geometry

energy relative to the elements = 0.2 eV per formula unit
symmetry = P4/mmm, No. 123
M_tot = 0.000 μB/f.u.
N(E_F) = 1.69 states/eV/f.u.

Unit cell a=3.134 b=3.134 c=6.356 alpha=90.00 beta=90.00 gamma=90.00
Sites, in units of the cell vectors:
Ag1 0.500 0.500 0.750
P1 0.000 0.000 0.042
P2 0.000 0.000 0.458
W1 0.500 0.500 0.250